1:
First-principles (PBE) data for crystalline CrAsOs3 at its relaxed geometry, as listed in Alexandria via LeMat-Bulk.

Lattice parameters (Å, degrees): 4.473 4.473 4.473 90.00 90.00 90.00
Element x y z (fractional)
Cr  0.000  0.000  0.000
As  0.500  0.500  0.500
Os  0.000  0.500  0.500
Os  0.500  0.000  0.500
Os  0.500  0.500  0.000

---

2:
First-principles (PBE) data for crystalline CrAsOs3 at its relaxed geometry, as listed in Alexandria via LeMat-Bulk.

Lattice parameters (Å, degrees): 4.463 4.463 4.463 90.00 90.00 90.00
Element x y z (fractional)
Cr  0.000  0.000  0.000
As  0.500  0.500  0.500
Os  0.000  0.000  0.500
Os  0.000  0.500  0.000
Os  0.500  0.000  0.000

---

It is 1 that is the least stable of them.